# 1
Pb2WCl | GGA-PBE | optimized geometry

Formation energy from raw total energies ... 0.521 eV per atom
Size of the total moment ... 0.00 μB/f.u.
Offset from the most stable computed form ... 3.93 kcal/mol of atoms

```
data_Pb2WCl
_chemical_formula_sum 'Pb2 W1 Cl1'
_cell_length_a 3.1603
_cell_length_b 3.1603
_cell_length_c 9.3276
_cell_angle_alpha 90.00
_cell_angle_beta 90.00
_cell_angle_gamma 90.00
_space_group_name_H-M_alt 'P 4/m m m'
_space_group_IT_number 123
_space_group_name_Hall '-P 4 2'
loop_
_atom_site_label
_atom_site_type_symbol
_atom_site_fract_x
_atom_site_fract_y
_atom_site_fract_z
_atom_site_occupancy
Pb1 Pb 0.0000 0.0000 0.2472 1
W1 W 0.5000 0.5000 0.0000 1
Cl1 Cl 0.5000 0.5000 0.5000 1
```

---

# 2
Er3Ga8Rh3 | GGA-PBE | optimized geometry

Size of the total moment ... 0.00 μB/f.u.
Offset from the most stable computed form ... 0.00 kcal/mol of atoms

```
data_Er3Ga8Rh3
_chemical_formula_sum 'Er6 Ga16 Rh6'
_cell_length_a 15.4036
_cell_length_b 4.3326
_cell_length_c 8.9608
_cell_angle_alpha 90.00
_cell_angle_beta 123.40
_cell_angle_gamma 90.00
_space_group_name_H-M_alt 'C 1 2/m 1'
_space_group_IT_number 12
_space_group_name_Hall '-C 2y'
loop_
_atom_site_label
_atom_site_type_symbol
_atom_site_fract_x
_atom_site_fract_y
_atom_site_fract_z
_atom_site_occupancy
Er1 Er 0.0000 0.0000 0.0000 1
Er2 Er 0.2089 0.5000 0.7001 1
Ga1 Ga 0.0039 0.5000 0.6782 1
Ga2 Ga 0.1377 0.0000 0.8432 1
Ga3 Ga 0.1385 0.0000 0.4237 1
Ga4 Ga 0.1513 0.5000 0.2682 1
Rh1 Rh 0.0000 0.0000 0.5000 1
Rh2 Rh 0.1667 0.5000 0.0044 1
```

---

# 3
K2Re4B | GGA-PBE | optimized geometry

Electronic total energy ... -6.94 eV/atom
Size of the total moment ... 2.56 μB/f.u.

```
data_K2Re4B
_chemical_formula_sum 'K4 Re8 B2'
_cell_length_a 4.1121
_cell_length_b 4.1121
_cell_length_c 21.1903
_cell_angle_alpha 90.00
_cell_angle_beta 90.00
_cell_angle_gamma 90.00
_space_group_name_H-M_alt 'I 4/m m m'
_space_group_IT_number 139
_space_group_name_Hall '-I 4 2'
loop_
_atom_site_label
_atom_site_type_symbol
_atom_site_fract_x
_atom_site_fract_y
_atom_site_fract_z
_atom_site_occupancy
K1 K 0.0000 0.0000 0.1753 1
Re1 Re 0.0000 0.0000 0.4090 1
Re2 Re 0.0000 0.5000 0.0000 1
B1 B 0.0000 0.0000 0.5000 1
```

---

# 4
Sr2Ga2Ge | GGA-PBE | optimized geometry

Size of the total moment ... 0.00 μB/f.u.
Offset from the most stable computed form ... 3.27 kcal/mol of atoms

```
data_Sr2Ga2Ge
_chemical_formula_sum 'Sr4 Ga4 Ge2'
_cell_length_a 7.3757
_cell_length_b 7.3757
_cell_length_c 4.9485
_cell_angle_alpha 90.00
_cell_angle_beta 90.00
_cell_angle_gamma 90.00
_space_group_name_H-M_alt 'P 4/m b m'
_space_group_IT_number 127
_space_group_name_Hall '-P 4 2ab'
loop_
_atom_site_label
_atom_site_type_symbol
_atom_site_fract_x
_atom_site_fract_y
_atom_site_fract_z
_atom_site_occupancy
Sr1 Sr 0.1811 0.3189 0.0000 1
Ga1 Ga 0.1247 0.6247 0.5000 1
Ge1 Ge 0.0000 0.0000 0.5000 1
```

---

# 5
NaCuAu2 | GGA-PBE | optimized geometry

Size of the total moment ... 0.00 μB/f.u.
Offset from the most stable computed form ... 0.00 kcal/mol of atoms

```
data_NaCuAu2
_chemical_formula_sum 'Na1 Cu1 Au2'
_cell_length_a 2.9185
_cell_length_b 2.9185
_cell_length_c 8.2352
_cell_angle_alpha 90.00
_cell_angle_beta 90.00
_cell_angle_gamma 90.00
_space_group_name_H-M_alt 'P 4/m m m'
_space_group_IT_number 123
_space_group_name_Hall '-P 4 2'
loop_
_atom_site_label
_atom_site_type_symbol
_atom_site_fract_x
_atom_site_fract_y
_atom_site_fract_z
_atom_site_occupancy
Na1 Na 0.0000 0.0000 0.0000 1
Cu1 Cu 0.0000 0.0000 0.5000 1
Au1 Au 0.5000 0.5000 0.2842 1
```

---

# 6
Ba2Sn5Pd3 | GGA-PBE | optimized geometry

Size of the total moment ... 0.00 μB/f.u.
Offset from the most stable computed form ... 0.00 kcal/mol of atoms

```
data_Ba2Sn5Pd3
_chemical_formula_sum 'Ba8 Sn20 Pd12'
_cell_length_a 11.3659
_cell_length_b 13.5157
_cell_length_c 6.7822
_cell_angle_alpha 90.00
_cell_angle_beta 90.00
_cell_angle_gamma 90.00
_space_group_name_H-M_alt 'I b a m'
_space_group_IT_number 72
_space_group_name_Hall '-I 2 2c'
loop_
_atom_site_label
_atom_site_type_symbol
_atom_site_fract_x
_atom_site_fract_y
_atom_site_fract_z
_atom_site_occupancy
Ba1 Ba 0.2413 0.1347 0.0000 1
Sn1 Sn 0.0000 0.0000 0.2500 1
Sn2 Sn 0.0000 0.2576 0.2500 1
Sn3 Sn 0.1476 0.3986 0.0000 1
Pd1 Pd 0.0000 0.5000 0.2500 1
Pd2 Pd 0.1147 0.1298 0.5000 1
```

---

# 7
LaZnRuO2 | GGA-PBE | optimized geometry

Formation energy from raw total energies ... -0.301 eV per atom
Size of the total moment ... 0.02 μB/f.u.

```
data_LaZnRuO2
_chemical_formula_sum 'La1 Zn1 Ru1 O2'
_cell_length_a 4.0980
_cell_length_b 4.0980
_cell_length_c 5.3309
_cell_angle_alpha 90.00
_cell_angle_beta 90.00
_cell_angle_gamma 90.00
_space_group_name_H-M_alt 'P 4/m m m'
_space_group_IT_number 123
_space_group_name_Hall '-P 4 2'
loop_
_atom_site_label
_atom_site_type_symbol
_atom_site_fract_x
_atom_site_fract_y
_atom_site_fract_z
_atom_site_occupancy
La1 La 0.0000 0.0000 0.0000 1
Zn1 Zn 0.5000 0.5000 0.0000 1
Ru1 Ru 0.0000 0.0000 0.5000 1
O1 O 0.0000 0.5000 0.5000 1
```

---

# 8
Pm2SmHo | GGA-PBE | optimized geometry

Size of the total moment ... 0.00 μB/f.u.
Offset from the most stable computed form ... 0.04 kcal/mol of atoms

```
data_Pm2SmHo
_chemical_formula_sum 'Pm6 Sm3 Ho3'
_cell_length_a 3.6286
_cell_length_b 3.6286
_cell_length_c 35.1613
_cell_angle_alpha 90.00
_cell_angle_beta 90.00
_cell_angle_gamma 120.00
_space_group_name_H-M_alt 'R 3 m'
_space_group_IT_number 160
_space_group_name_Hall 'R 3 -2"'
loop_
_atom_site_label
_atom_site_type_symbol
_atom_site_fract_x
_atom_site_fract_y
_atom_site_fract_z
_atom_site_occupancy
Pm1 Pm 0.0000 0.0000 0.0000 1
Pm2 Pm 0.0000 0.0000 0.1685 1
Sm1 Sm 0.0000 0.0000 0.4175 1
Ho1 Ho 0.0000 0.0000 0.5846 1
```

---

# 9
NbZnSe2Br | GGA-PBE | optimized geometry

Formation energy from raw total energies ... 0.503 eV per atom
Size of the total moment ... 2.30 μB/f.u.
Offset from the most stable computed form ... 15.14 kcal/mol of atoms

```
data_NbZnSe2Br
_chemical_formula_sum 'Nb1 Zn1 Se2 Br1'
_cell_length_a 4.8981
_cell_length_b 4.8981
_cell_length_c 4.9731
_cell_angle_alpha 90.00
_cell_angle_beta 90.00
_cell_angle_gamma 90.00
_space_group_name_H-M_alt 'P 4/m m m'
_space_group_IT_number 123
_space_group_name_Hall '-P 4 2'
loop_
_atom_site_label
_atom_site_type_symbol
_atom_site_fract_x
_atom_site_fract_y
_atom_site_fract_z
_atom_site_occupancy
Nb1 Nb 0.0000 0.0000 0.0000 1
Zn1 Zn 0.5000 0.5000 0.5000 1
Se1 Se 0.0000 0.5000 0.5000 1
Br1 Br 0.5000 0.5000 0.0000 1
```

---

# 10
CeY7Ho12 | GGA-PBE | optimized geometry

Size of the total moment ... 1.59 μB/f.u.
Offset from the most stable computed form ... 11.27 kcal/mol of atoms

```
data_CeY7Ho12
_chemical_formula_sum 'Ce2 Y14 Ho24'
_cell_length_a 11.2669
_cell_length_b 11.2669
_cell_length_c 11.2669
_cell_angle_alpha 90.00
_cell_angle_beta 90.00
_cell_angle_gamma 90.00
_space_group_name_H-M_alt 'I m -3 m'
_space_group_IT_number 229
_space_group_name_Hall '-I 4 2 3'
loop_
_atom_site_label
_atom_site_type_symbol
_atom_site_fract_x
_atom_site_fract_y
_atom_site_fract_z
_atom_site_occupancy
Ce1 Ce 0.0000 0.0000 0.0000 1
Y1 Y 0.0000 0.0000 0.5000 1
Y2 Y 0.2500 0.2500 0.2500 1
Ho1 Ho 0.0000 0.2565 0.2565 1
```

---

# 11
Sm4NiSn | GGA-PBE | optimized geometry

Electronic total energy ... -5.15 eV/atom
Size of the total moment ... 0.00 μB/f.u.

```
data_Sm4NiSn
_chemical_formula_sum 'Sm8 Ni2 Sn2'
_cell_length_a 5.7426
_cell_length_b 6.9666
_cell_length_c 8.6047
_cell_angle_alpha 90.00
_cell_angle_beta 102.14
_cell_angle_gamma 90.00
_space_group_name_H-M_alt 'P 1 21/m 1'
_space_group_IT_number 11
_space_group_name_Hall '-P 2yb'
loop_
_atom_site_label
_atom_site_type_symbol
_atom_site_fract_x
_atom_site_fract_y
_atom_site_fract_z
_atom_site_occupancy
Sm1 Sm 0.1216 0.2500 0.0545 1
Sm2 Sm 0.2124 0.7500 0.3725 1
Sm3 Sm 0.3472 0.5071 0.7754 1
Ni1 Ni 0.3477 0.7500 0.0513 1
Sn1 Sn 0.2249 0.2500 0.4289 1
```

---

# 12
PrZnTe | GGA-PBE | optimized geometry

Formation energy from raw total energies ... -0.803 eV per atom
Size of the total moment ... 0.00 μB/f.u.

```
data_PrZnTe
_chemical_formula_sum 'Pr6 Zn6 Te6'
_cell_length_a 4.7859
_cell_length_b 4.7859
_cell_length_c 30.0836
_cell_angle_alpha 90.00
_cell_angle_beta 90.00
_cell_angle_gamma 120.00
_space_group_name_H-M_alt 'R -3 m'
_space_group_IT_number 166
_space_group_name_Hall '-R 3 2"'
loop_
_atom_site_label
_atom_site_type_symbol
_atom_site_fract_x
_atom_site_fract_y
_atom_site_fract_z
_atom_site_occupancy
Pr1 Pr 0.0000 0.0000 0.0619 1
Zn1 Zn 0.0000 0.0000 0.3288 1
Te1 Te 0.0000 0.0000 0.2252 1
```

---

Number 1: calculated volume 23.29 Å³ per atom. Number 2: calculated volume 17.83 Å³ per atom. Number 3: calculated volume 25.59 Å³ per atom. Number 4: calculated volume 26.92 Å³ per atom. Number 5: calculated volume 17.54 Å³ per atom. Number 6: calculated volume 26.05 Å³ per atom. Number 7: calculated volume 17.91 Å³ per atom. Number 8: calculated volume 33.41 Å³ per atom. Number 9: calculated volume 23.86 Å³ per atom. Number 10: calculated volume 35.76 Å³ per atom. Number 11: calculated volume 28.04 Å³ per atom. Number 12: calculated volume 33.15 Å³ per atom.